Entry 1:
NdB2, optimized geometry, DFT PBE-GGA; electronic total energy = -31.8 eV/cell
1.0
-2.060 -3.869 -1.989
-4.316 -1.482 1.529
-3.862 0.515 -2.826
B Nd
4 2
Cartesian
-4.468 -3.280 -0.641
-4.241 -2.282 -2.818
-5.369 -1.088 -1.059
-6.399 -3.023 -2.054
0.000 0.000 0.000
-2.560 -1.209 -0.822

Entry 2:
Nd2B, optimized geometry, DFT PBE-GGA; electronic total energy = -24.8 eV/cell
1.0
4.053 2.340 6.619
-4.053 2.340 6.619
0.000 -4.680 6.619
B Nd
2 4
Cartesian
0.000 0.000 4.964
0.000 0.000 9.929
0.000 0.000 7.447
2.027 1.170 10.756
-2.027 1.170 10.756
0.000 -2.340 10.756

Entry 3:
Nd2B13, optimized geometry, DFT PBE-GGA; electronic total energy = -89.1 eV/cell
1.0
-3.252 0.370 4.710
3.520 0.741 4.467
-0.250 5.533 1.487
B Nd
13 2
Cartesian
-1.052 0.142 1.560
1.139 0.263 1.482
-1.944 1.316 4.577
2.111 1.538 4.431
0.165 2.237 8.017
-0.081 1.813 0.518
0.009 3.322 5.332
0.099 4.831 10.146
-0.147 4.408 2.647
-2.092 5.106 6.233
1.962 5.328 6.087
-1.121 6.382 9.182
1.070 6.502 9.104
0.005 1.949 3.128
0.013 4.695 7.536

Entry 4:
NdNi4B, optimized geometry, DFT PBE-GGA; electronic total energy = -217.4 eV/cell
1.0
-5.068 0.000 0.000
0.000 -6.982 0.000
2.534 3.491 13.179
B Nd Ni
6 6 24
Cartesian
0.000 -5.237 1.238
-2.534 -5.237 2.895
-2.534 -5.237 5.859
0.000 1.746 7.320
0.000 1.746 10.284
-2.534 1.746 11.941
-2.534 -1.746 0.236
0.000 -5.237 4.357
0.000 -1.746 4.452
-2.534 -1.746 8.727
-2.534 1.746 8.823
0.000 -1.746 12.943
0.000 0.000 0.000
0.000 -3.491 0.000
0.000 -1.746 1.685
-1.269 0.362 2.146
-3.800 0.362 2.146
-1.269 -3.853 2.146
-3.800 -3.853 2.146
-2.534 -1.746 3.001
-2.534 0.322 4.385
-2.534 -3.813 4.385
-2.534 -1.746 5.844
1.267 0.313 6.590
-1.267 0.313 6.590
1.267 -3.804 6.590
-1.267 -3.804 6.590
0.000 -1.746 7.335
0.000 0.322 8.795
0.000 -3.813 8.795
0.000 -1.746 10.179
1.266 0.362 11.033
-1.266 0.362 11.033
1.266 -3.853 11.033
-1.266 -3.853 11.033
-2.534 -1.746 11.494

Entry 5:
Nd3Ni2B2P3, optimized geometry, DFT PBE-GGA; electronic total energy = -63.7 eV/cell
1.0
2.863 -2.863 0.000
2.863 2.863 0.000
-2.863 0.000 10.814
B Nd Ni P
2 3 2 3
Cartesian
0.002 0.000 4.759
2.863 0.000 6.033
2.863 0.000 2.997
0.000 0.000 7.797
2.863 0.000 10.807
1.433 -1.433 5.397
1.433 1.433 5.397
0.000 0.000 2.824
2.863 0.000 7.970
0.000 0.000 10.803

Entry 6:
TbNd2Ni2B2P3, optimized geometry, DFT PBE-GGA; electronic total energy = -63.7 eV/cell
1.0
-2.013 2.013 10.783
2.013 -2.013 10.783
2.013 2.013 -10.783
B Nd Ni P Tb
2 2 2 3 1
Cartesian
0.000 0.000 4.719
0.000 0.000 16.848
0.000 0.000 7.794
0.000 0.000 13.773
0.000 2.013 5.392
2.013 0.000 5.392
0.000 0.000 2.769
0.000 0.000 10.783
0.000 0.000 18.798
0.000 0.000 0.000

Entry 7:
Nd3Si4Ni29B10, optimized geometry, DFT PBE-GGA; electronic total energy = -575.6 eV/cell
1.0
-6.311 8.695 -3.343
-8.193 -3.260 6.989
3.107 4.454 5.719
B Nd Ni Si
20 6 58 8
Cartesian
-3.773 -1.166 4.090
-2.715 4.979 -0.860
-0.739 3.306 0.675
-3.945 7.722 -1.023
-4.423 4.686 1.601
-8.454 3.082 5.040
-2.242 2.771 4.312
-6.177 8.193 2.227
-5.326 1.544 6.943
-9.261 6.966 4.858
-1.903 4.401 3.230
-4.279 7.673 1.972
-7.012 2.368 7.589
-9.388 5.641 6.331
0.277 2.485 5.941
-3.406 3.866 6.867
-6.511 8.145 5.222
-3.884 0.830 9.491
-1.430 2.192 8.403
-0.372 8.337 3.452
-3.626 1.359 0.912
-6.781 5.706 -0.760
-7.723 -0.271 4.406
-10.878 4.077 2.735
1.553 2.227 2.859
-5.699 4.944 4.683
-2.020 3.016 -0.961
-4.125 5.916 -2.076
-4.439 3.923 -0.353
-9.899 1.750 4.305
-0.348 1.461 0.274
-5.265 8.235 -2.331
-5.998 3.578 1.694
-7.808 2.858 3.238
-3.101 0.872 3.727
-7.947 7.549 1.160
-5.002 0.115 5.349
-9.848 6.793 2.782
-2.434 4.361 1.178
-3.826 6.278 0.441
-8.820 1.820 6.626
-10.212 3.738 5.888
-1.371 2.473 2.450
-5.492 8.151 0.267
-3.782 3.376 3.056
-5.805 6.164 1.984
-6.624 2.245 5.481
-8.648 5.033 4.409
-6.937 0.258 7.198
-11.058 5.936 5.015
-2.644 0.452 6.168
-0.753 1.230 4.621
-4.058 2.469 5.452
-7.492 7.201 3.632
-4.487 -0.255 7.806
-0.087 4.702 2.091
-2.964 8.665 0.567
-3.393 5.941 2.922
-7.852 4.167 6.725
-1.501 6.719 1.374
-0.363 3.795 4.486
-4.651 9.702 2.216
-2.774 4.699 5.092
-4.964 7.716 3.933
-5.401 3.653 7.334
-7.591 6.670 6.174
-5.714 1.667 9.051
-10.001 7.574 6.780
-1.711 2.811 6.364
-6.630 9.588 3.759
-3.518 2.092 7.906
-8.437 8.869 5.300
-1.045 6.300 3.815
-2.509 8.317 3.039
-7.337 3.796 9.183
-8.801 5.814 8.407
1.853 3.593 5.848
-3.797 5.710 7.269
-5.191 7.631 6.530
-4.531 1.053 11.293
0.294 3.248 7.895
-2.125 4.155 8.503
-6.331 9.950 6.276
-2.439 2.161 10.226
-0.952 0.194 2.303
-5.539 1.913 3.456
-7.858 5.109 2.228
-6.134 -1.867 6.723
1.394 5.258 4.086
-2.598 10.757 1.972
-3.193 6.977 5.239
-6.204 5.779 7.808

Entry 8:
NdTmNi8B2, optimized geometry, DFT PBE-GGA; electronic total energy = -72.4 eV/cell
1.0
5.017 0.000 0.000
-2.508 4.345 0.000
0.000 0.000 6.969
B Nd Ni Tm
2 1 8 1
Cartesian
2.508 1.448 3.485
0.000 2.897 3.485
0.000 0.000 3.485
2.508 1.448 0.000
0.000 2.897 0.000
2.508 0.000 2.021
-1.254 2.172 2.021
1.254 2.172 2.021
2.508 0.000 4.948
-1.254 2.172 4.948
1.254 2.172 4.948
0.000 0.000 0.000

Entry 9:
NdTmNi8B2, optimized geometry, DFT PBE-GGA; electronic total energy = -72.9 eV/cell
1.0
5.004 0.000 0.000
-2.502 4.333 0.000
0.000 0.000 6.988
B Nd Ni Tm
2 1 8 1
Cartesian
2.502 1.444 3.494
0.000 2.889 3.494
0.000 0.000 0.000
2.502 1.444 0.000
0.000 2.889 0.000
2.502 0.000 2.065
-1.251 2.167 2.065
1.251 2.167 2.065
2.502 0.000 4.923
-1.251 2.167 4.923
1.251 2.167 4.923
0.000 0.000 3.494

Entry 10:
NdYNi8B2, optimized geometry, DFT PBE-GGA; electronic total energy = -74.7 eV/cell
1.0
1.785 0.893 -4.615
-4.774 1.120 1.112
1.970 6.409 2.001
B Nd Ni Y
2 1 8 1
Cartesian
0.583 4.173 -1.705
-1.603 4.248 0.204
0.000 0.000 0.000
-0.401 0.968 -2.706
-2.587 1.044 -0.797
1.475 2.341 -1.716
-1.804 2.454 1.148
-0.912 2.901 -1.159
-0.107 5.520 -0.342
2.280 4.960 -0.898
-1.000 5.074 1.966
0.985 3.204 1.001

Entry 11:
NdYNi8B2, optimized geometry, DFT PBE-GGA; electronic total energy = -74.4 eV/cell
1.0
2.520 -4.363 0.000
2.520 4.363 0.000
0.000 0.000 7.006
B Nd Ni Y
2 1 8 1
Cartesian
2.520 -1.454 0.000
2.520 1.454 0.000
0.000 0.000 0.000
1.260 -2.182 1.460
1.260 2.182 1.460
2.520 0.000 1.460
2.520 -1.454 3.503
2.520 1.454 3.503
2.520 0.000 5.546
1.260 -2.182 5.546
1.260 2.182 5.546
0.000 0.000 3.503

Entry 12:
NdNpB, optimized geometry, DFT PBE-GGA; electronic total energy = -22.7 eV/cell
1.0
0.000 3.200 3.200
3.200 0.000 3.200
3.200 3.200 0.000
B Nd Np
1 1 1
Cartesian
0.000 0.000 0.000
1.600 1.600 1.600
4.801 4.801 4.801

Entry 13:
Nd2B2O5, optimized geometry, DFT PBE-GGA; electronic total energy = -64.8 eV/cell
1.0
6.920 0.000 0.000
0.000 3.628 0.000
0.000 0.000 3.628
B Nd O
2 2 5
Cartesian
1.917 1.814 1.814
5.003 1.814 1.814
0.000 0.000 0.000
3.460 0.000 0.000
1.733 1.814 0.000
5.187 1.814 0.000
1.733 0.000 1.814
5.187 0.000 1.814
3.460 1.814 1.814

Entry 14:
NdBO3, optimized geometry, DFT PBE-GGA; electronic total energy = -166.0 eV/cell
1.0
-0.655 5.628 2.710
-5.893 -2.865 -0.109
2.421 -4.155 4.437
B Nd O
4 4 12
Cartesian
-4.085 -3.120 1.063
-1.284 0.869 2.540
-2.843 -2.262 4.498
-0.041 1.727 5.975
-4.549 0.138 2.302
-1.464 -1.772 1.354
-2.663 0.380 5.684
0.422 -1.530 4.736
-2.201 0.508 1.542
-4.028 -1.748 0.900
-0.923 2.206 2.573
-5.842 1.730 3.605
-3.521 1.833 3.967
-0.790 -0.105 3.343
-3.337 -1.288 3.694
-0.606 -3.225 3.070
1.715 -3.123 3.433
-3.204 -3.599 4.464
-0.099 0.356 6.138
-1.926 -1.900 5.495

Entry 15:
Nd2B2O5, optimized geometry, DFT PBE-GGA; electronic total energy = -53.4 eV/cell
1.0
-2.886 6.102 -6.381
1.442 -2.088 -2.649
-3.174 -1.813 -0.298
B Nd O
2 2 5
Cartesian
0.000 0.000 0.000
-1.443 3.051 -3.190
-1.600 -0.399 -3.096
-3.019 2.600 -6.232
0.383 -0.330 -2.071
-1.828 4.344 -6.958
-1.925 -0.192 -0.896
-4.136 4.481 -5.783
-2.309 1.101 -4.664

Entry 16:
NdB3O6, optimized geometry, DFT PBE-GGA; electronic total energy = -163.8 eV/cell
1.0
-4.869 -4.039 -0.020
4.869 -4.039 0.020
-3.749 0.000 5.084
B Nd O
6 2 12
Cartesian
-3.002 -4.572 0.423
-0.937 -5.819 1.271
1.128 -4.572 2.119
-4.876 -3.506 2.964
-2.811 -2.260 3.813
-0.747 -3.506 4.661
-0.937 -2.449 1.271
-2.811 -5.629 3.813
-2.929 -3.317 -0.009
-1.013 -6.557 0.026
0.242 -4.929 1.071
-2.116 -4.929 1.471
-0.861 -6.557 2.516
1.055 -3.317 2.551
-4.804 -4.762 2.532
-2.887 -1.521 2.568
-1.633 -3.149 3.613
-3.990 -3.149 4.013
-2.736 -1.521 5.058
-0.819 -4.762 5.093